Entry 1:
Here is a geometry-optimized CaV2AsO8 structure from Alexandria. Energies are from PBE with a Hubbard U.

Geometry as POSCAR:
```
CaV2AsO8
1.0
5.1256 -0.2320 -0.1018
2.1586 4.6547 -0.1018
0.1818 0.1104 6.8894
O Ca V As
8 1 2 1
direct
0.2572 0.7870 0.2070 O
0.2244 0.2244 0.9650 O
0.7756 0.7756 0.0350 O
0.7870 0.2572 0.2070 O
0.2130 0.7428 0.7930 O
0.7428 0.2130 0.7930 O
0.7262 0.7262 0.4375 O
0.2738 0.2738 0.5625 O
0.0000 0.0000 0.5000 Ca
0.6373 0.6373 0.2220 V
0.3627 0.3627 0.7780 V
0.0000 0.0000 0.0000 As
```

Energy ... -83.7 eV per formula unit
Crystal system ... monoclinic
N(E_F) ... 4.2 states/eV/cell
Space-group type ... No. 12

=====

Entry 2:
Here is a geometry-optimized CaVAsO6 structure from Alexandria. Energies are from PBE with a Hubbard U.

Geometry as POSCAR:
```
CaVAsO6
1.0
4.9935 0.0000 0.0000
-2.4967 4.3245 0.0000
0.0000 0.0000 10.1694
O Ca As V
12 2 2 2
direct
0.9937 0.6178 0.8530 O
0.0063 0.6242 0.3530 O
0.6178 0.9937 0.3530 O
0.6242 0.0063 0.8530 O
0.9937 0.3758 0.6470 O
0.3758 0.3822 0.3530 O
0.6242 0.6178 0.6470 O
0.6178 0.6242 0.1470 O
0.3758 0.9937 0.1470 O
0.3822 0.0063 0.6470 O
0.0063 0.3822 0.1470 O
0.3822 0.3758 0.8530 O
0.0000 0.0000 0.0000 Ca
0.0000 0.0000 0.5000 Ca
0.3333 0.6667 0.2500 As
0.6667 0.3333 0.7500 As
0.6667 0.3333 0.2500 V
0.3333 0.6667 0.7500 V
```

Energy ... -61.5 eV per formula unit
Crystal system ... trigonal
N(E_F) ... 0.0 states/eV/cell
Space-group type ... No. 163

=====

Entry 3:
Here is a geometry-optimized CaVAs2O8 structure from Alexandria. Energies are from PBE with a Hubbard U.

Geometry as POSCAR:
```
CaVAs2O8
1.0
-3.6406 -4.4847 0.3102
3.6316 0.6994 4.4480
-3.3120 4.7413 -0.1193
O V As Ca
8 1 2 1
direct
0.3795 0.0735 0.3060 O
0.9265 0.2325 0.3060 O
0.9265 0.6205 0.6940 O
0.5312 0.7034 0.8278 O
0.2966 0.1243 0.8278 O
0.8757 0.7034 0.1722 O
0.7675 0.0735 0.6940 O
0.2966 0.4688 0.1722 O
0.0000 0.0000 0.0000 V
0.7500 0.2500 0.5000 As
0.5000 0.5000 0.0000 As
0.2500 0.7500 0.5000 Ca
```

Energy ... -77.6 eV per formula unit
Crystal system ... tetragonal
Space-group type ... No. 119

=====

Entry 4:
Here is a geometry-optimized CaVAsO5 structure from Alexandria. Energies are from PBE with a Hubbard U.

Geometry as POSCAR:
```
CaVAsO5
1.0
-3.8831 -3.3103 2.4942
-0.9545 -0.4327 -5.5820
6.1649 -3.5715 0.9630
O Ca V As
10 2 2 2
direct
0.6712 0.1076 0.3833 O
0.3797 0.2650 0.0783 O
0.2650 0.3797 0.5783 O
0.1076 0.6712 0.8833 O
0.6203 0.7350 0.9217 O
0.0733 0.9267 0.2500 O
0.8924 0.3288 0.1167 O
0.7350 0.6203 0.4217 O
0.3288 0.8924 0.6167 O
0.9267 0.0733 0.7500 O
0.6795 0.3205 0.7500 Ca
0.3205 0.6795 0.2500 Ca
0.0000 0.0000 0.5000 V
0.0000 0.0000 0.0000 V
0.6757 0.3243 0.2500 As
0.3243 0.6757 0.7500 As
```

Energy ... -55.4 eV per formula unit
Energy above the lowest structure with this stoichiometry ... 0.000 eV/atom
Crystal system ... monoclinic
Space-group type ... No. 15

=====

Entry 5:
Here is a geometry-optimized CaVAsO5 structure from Alexandria. Energies are from PBE with a Hubbard U.

Geometry as POSCAR:
```
CaVAsO5
1.0
-2.2959 -1.9555 -8.4817
-3.8232 -4.2328 2.0108
-5.6601 5.2623 0.3189
O As Ca V
20 4 4 4
direct
0.9613 0.0182 0.1230 O
0.4613 0.9818 0.8770 O
0.3402 0.2567 0.6355 O
0.9285 0.4901 0.0719 O
0.0715 0.0099 0.5719 O
0.0387 0.4819 0.6230 O
0.8333 0.2598 0.4155 O
0.5387 0.5181 0.3770 O
0.1598 0.7567 0.8645 O
0.3315 0.8464 0.2442 O
0.8402 0.7433 0.3645 O
0.1668 0.2403 0.9156 O
0.3333 0.7402 0.5845 O
0.6668 0.7597 0.0844 O
0.8315 0.1536 0.7558 O
0.6598 0.2433 0.1355 O
0.6685 0.6536 0.7441 O
0.5715 0.9901 0.4281 O
0.4285 0.5099 0.9281 O
0.1685 0.3464 0.2559 O
0.9503 0.2303 0.5941 As
0.0498 0.2697 0.0941 As
0.5498 0.7303 0.9059 As
0.4503 0.7697 0.4059 As
0.4122 0.2248 0.1555 Ca
0.0878 0.7248 0.3446 Ca
0.9122 0.7752 0.8445 Ca
0.5878 0.2752 0.6554 Ca
0.7530 0.0033 0.2590 V
0.7471 0.5033 0.2409 V
0.2530 0.9967 0.7410 V
0.2471 0.4967 0.7591 V
```

Energy ... -55.2 eV per formula unit
Energy above the lowest structure with this stoichiometry ... 0.028 eV/atom
Crystal system ... orthorhombic
Space-group type ... No. 19

=====

Entry 6:
Here is a geometry-optimized CaAs2WO7 structure from Alexandria. Energies are from PBE with a Hubbard U.

Geometry as POSCAR:
```
CaAs2WO7
1.0
-5.1550 2.4009 6.0740
-7.1938 0.1157 -6.1512
0.5010 -8.9107 3.9474
Ca O As W
4 28 8 4
direct
0.4219 0.9043 0.6206 Ca
0.5781 0.0957 0.3794 Ca
0.0781 0.4043 0.1206 Ca
0.9219 0.5957 0.8794 Ca
0.5859 0.6880 0.6220 O
0.4141 0.3120 0.3780 O
0.5898 0.0981 0.6211 O
0.1409 0.0283 0.3157 O
0.6815 0.4741 0.7284 O
0.9102 0.5981 0.1211 O
0.3343 0.2831 0.0465 O
0.1657 0.7831 0.5465 O
0.1939 0.3040 0.5950 O
0.1815 0.0259 0.7716 O
0.8061 0.6960 0.4050 O
0.8185 0.9741 0.2284 O
0.5906 0.1721 0.1631 O
0.6409 0.4717 0.1843 O
0.0859 0.8120 0.8780 O
0.8591 0.9717 0.6843 O
0.3591 0.5283 0.8157 O
0.0906 0.3279 0.3369 O
0.3185 0.5259 0.2716 O
0.6939 0.1960 0.9050 O
0.4094 0.8279 0.8369 O
0.8343 0.2169 0.4535 O
0.9094 0.6721 0.6631 O
0.9141 0.1880 0.1220 O
0.6657 0.7169 0.9535 O
0.3061 0.8040 0.0950 O
0.4102 0.9019 0.3789 O
0.0898 0.4019 0.8789 O
0.2703 0.9171 0.9795 As
0.7703 0.5829 0.5205 As
0.7644 0.1682 0.7169 As
0.7297 0.0829 0.0205 As
0.7356 0.6682 0.2169 As
0.2644 0.3318 0.7831 As
0.2356 0.8318 0.2831 As
0.2297 0.4171 0.4795 As
0.0451 0.8689 0.7032 W
0.4549 0.3689 0.2032 W
0.5451 0.6311 0.7968 W
0.9549 0.1311 0.2968 W
```

Energy ... -73.3 eV per formula unit
Crystal system ... monoclinic
N(E_F) ... 0.0 states/eV/cell
Space-group type ... No. 14

=====

Entry 7:
Here is a geometry-optimized CaAsW2O4 structure from Alexandria. Energies are from PBE with a Hubbard U.

Geometry as POSCAR:
```
CaAsW2O4
1.0
-3.9466 0.6129 10.1031
-0.3251 -4.9954 -9.6418
1.6805 -4.5766 1.6081
O As W Ca
8 2 4 2
direct
0.4064 0.6561 0.6017 O
0.8893 0.1400 0.9860 O
0.5834 0.1451 0.4864 O
0.6561 0.4064 0.1017 O
0.3985 0.9670 0.0794 O
0.1400 0.8893 0.4860 O
0.9670 0.3985 0.5794 O
0.1451 0.5834 0.9864 O
0.4436 0.1015 0.2890 As
0.1015 0.4436 0.7890 As
0.0237 0.9745 0.5153 W
0.9745 0.0237 0.0153 W
0.5708 0.5222 0.0729 W
0.5222 0.5708 0.5729 W
0.9657 0.5781 0.2904 Ca
0.5781 0.9657 0.7904 Ca
```

Energy ... -48.0 eV per formula unit
Crystal system ... monoclinic
N(E_F) ... 1.6 states/eV/cell
Space-group type ... No. 9